Record 1
# FeOs2Cl PBE optimized geometry
data_FeOs2Cl
_chemical_formula_sum 'Fe2 Os4 Cl2'
_space_group_name_H-M_alt 'C m m m'
_space_group_IT_number 65
_space_group_name_Hall '-C 2 2'
_cell_length_a 5.9398
_cell_length_b 6.5696
_cell_length_c 2.8457
_cell_angle_alpha 90.00
_cell_angle_beta 90.00
_cell_angle_gamma 90.00
loop_
_atom_site_label
_atom_site_type_symbol
_atom_site_fract_x
_atom_site_fract_y
_atom_site_fract_z
Fe1 Fe 0.0000 0.0000 0.0000
Os1 Os 0.2500 0.2500 0.5000
Cl1 Cl 0.0000 0.5000 0.0000
# Energy relative to the lowest polymorph listed for this composition: 0.816 eV/atom
# Calculated density: 14.109 g/cm³
# DOS at the Fermi energy: 4.36 states/eV/f.u.
# Formation energy from raw total energies: 118 kJ per mole of atoms

***

Record 2
# FeOsCl2 PBE optimized geometry
data_FeOsCl2
_chemical_formula_sum 'Fe2 Os2 Cl4'
_space_group_name_H-M_alt 'I -4 m 2'
_space_group_IT_number 119
_space_group_name_Hall 'I -4 -2'
_cell_length_a 3.5292
_cell_length_b 3.5292
_cell_length_c 10.5367
_cell_angle_alpha 90.00
_cell_angle_beta 90.00
_cell_angle_gamma 90.00
loop_
_atom_site_label
_atom_site_type_symbol
_atom_site_fract_x
_atom_site_fract_y
_atom_site_fract_z
Fe1 Fe 0.0000 0.0000 0.0000
Os1 Os 0.0000 0.5000 0.7500
Cl1 Cl 0.0000 0.0000 0.5000
Cl2 Cl 0.0000 0.5000 0.2500
# Energy relative to the lowest polymorph listed for this composition: 0.975 eV/atom
# Calculated density: 8.021 g/cm³
# DOS at the Fermi energy: 3.63 states/eV/f.u.
# Formation energy from raw total energies: 104 kJ per mole of atoms

***

Record 3
# Fe2OsCl PBE optimized geometry
data_Fe2OsCl
_chemical_formula_sum 'Fe4 Os2 Cl2'
_space_group_name_H-M_alt 'I -4 m 2'
_space_group_IT_number 119
_space_group_name_Hall 'I -4 -2'
_cell_length_a 3.6231
_cell_length_b 3.6231
_cell_length_c 8.8993
_cell_angle_alpha 90.00
_cell_angle_beta 90.00
_cell_angle_gamma 90.00
loop_
_atom_site_label
_atom_site_type_symbol
_atom_site_fract_x
_atom_site_fract_y
_atom_site_fract_z
Fe1 Fe 0.0000 0.0000 0.0000
Fe2 Fe 0.0000 0.5000 0.2500
Os1 Os 0.0000 0.5000 0.7500
Cl1 Cl 0.0000 0.0000 0.5000
# Energy relative to the lowest polymorph listed for this composition: 0.731 eV/atom
# Calculated density: 9.591 g/cm³
# DOS at the Fermi energy: 5.21 states/eV/f.u.
# Formation energy from raw total energies: 99 kJ per mole of atoms

***

Record 4
# Fe2OsCl PBE optimized geometry
data_Fe2OsCl
_chemical_formula_sum 'Fe4 Os2 Cl2'
_space_group_name_H-M_alt 'C m m 2'
_space_group_IT_number 35
_cell_length_a 2.8478
_cell_length_b 4.6642
_cell_length_c 9.5975
_cell_angle_alpha 90.00
_cell_angle_beta 90.00
_cell_angle_gamma 90.00
loop_
_space_group_symop_operation_xyz
'x,y,z'
'-x,-y,z'
'-x,y,z'
'x,-y,z'
'x+1/2,y+1/2,z'
'-x+1/2,-y+1/2,z'
'-x+1/2,y+1/2,z'
'x+1/2,-y+1/2,z'
loop_
_atom_site_label
_atom_site_type_symbol
_atom_site_fract_x
_atom_site_fract_y
_atom_site_fract_z
Fe1 Fe 0.0000 0.0000 0.0000
Fe2 Fe 0.0000 0.5000 0.2091
Os1 Os 0.0000 0.5000 0.7872
Cl1 Cl 0.0000 0.0000 0.4021
# Energy relative to the lowest polymorph listed for this composition: 0.211 eV/atom
# Calculated density: 8.789 g/cm³
# DOS at the Fermi energy: 4.23 states/eV/f.u.
# Formation energy from raw total energies: 49 kJ per mole of atoms